Crystalline NaCr at its relaxed geometry. Source: Alexandria, functional GGA-PBE.

Calculated values
ΔH_f (0 K)	1002	meV/atom
total magnetic moment	0.000	μB/atom
excess energy over the best structure of this formula in the dataset	214.5	meV per atom

a b c (Å): 10.2751 10.2751 2.8979
angles (deg): 90.00 90.00 120.00
Space group P6_3/mmc (No. 194)
Unique sites:
Na 0.1624 0.3249 0.2500 (multiplicity 6)
Cr 0.0829 0.5414 0.7500 (multiplicity 6)

Crystalline Si2AgAs at its relaxed geometry. Source: Alexandria, functional GGA-PBE.

Calculated values
formation energy from raw total energies	0.5123	eV/atom
total magnetic moment	0.000	μB/atom

a b c (Å): 3.779 3.779 10.003
angles (deg): 90.00 90.00 90.00
Space group I4/mmm (No. 139)
Unique sites:
Si 0.000 0.500 0.250 (multiplicity 4)
Ag 0.000 0.000 0.000 (multiplicity 2)
As 0.000 0.000 0.500 (multiplicity 2)

Crystalline Pr2ZnAu5 at its relaxed geometry. Source: Alexandria, functional GGA-PBE.

Calculated values
ΔH_f (0 K)	-496	meV/atom
total magnetic moment	0.000	μB/atom

a b c (Å): 6.522 6.522 8.731
angles (deg): 90.00 90.00 90.00
Space group I4mm (No. 107)
Unique sites:
Pr 0.000 0.500 0.000 (multiplicity 4)
Zn 0.000 0.000 0.185 (multiplicity 2)
Au 0.000 0.000 0.496 (multiplicity 2)
Au 0.220 0.220 0.753 (multiplicity 8)

Crystalline CaErSnBi at its relaxed geometry. Source: Alexandria, functional GGA-PBE.

Calculated values
ΔH_f (0 K)	-526	meV/atom
total magnetic moment	0.000	μB/atom

a b c (Å): 7.748 7.748 7.748
angles (deg): 90.00 90.00 90.00
Space group F-43m (No. 216)
Unique sites:
Ca 0.000 0.000 0.000 (multiplicity 4)
Er 0.000 0.000 0.500 (multiplicity 4)
Sn 0.250 0.250 0.250 (multiplicity 4)
Bi 0.250 0.250 0.750 (multiplicity 4)

Crystalline EuTlHgAu at its relaxed geometry. Source: Alexandria, functional GGA-PBE.

Calculated values
ΔH_f (0 K)	-361	meV/atom
total magnetic moment	1.771	μB/atom

a b c (Å): 7.388 7.388 7.388
angles (deg): 90.00 90.00 90.00
Space group F-43m (No. 216)
Unique sites:
Eu 0.000 0.000 0.000 (multiplicity 4)
Tl 0.250 0.250 0.250 (multiplicity 4)
Hg 0.000 0.000 0.500 (multiplicity 4)
Au 0.250 0.250 0.750 (multiplicity 4)

Crystalline CrIr2W at its relaxed geometry. Source: Alexandria, functional GGA-PBE.

Calculated values
ΔH_f (0 K)	159	meV/atom
total magnetic moment	1.121	μB/atom
excess energy over the best structure of this formula in the dataset	400.2	meV per atom

a b c (Å): 6.226 6.226 6.226
angles (deg): 90.00 90.00 90.00
Space group Fm-3m (No. 225)
Unique sites:
Cr 0.000 0.000 0.000 (multiplicity 4)
Ir 0.250 0.250 0.250 (multiplicity 8)
W 0.000 0.000 0.500 (multiplicity 4)

Crystalline TmGa2NiRu at its relaxed geometry. Source: Alexandria, functional GGA-PBE.

Calculated values
ΔH_f (0 K)	-486	meV/atom
total magnetic moment	0.000	μB/atom

a b c (Å): 4.100 4.100 10.149
angles (deg): 90.00 90.00 90.00
Space group I-4m2 (No. 119)
Unique sites:
Tm 0.000 0.000 0.000 (multiplicity 2)
Ga 0.000 0.000 0.377 (multiplicity 4)
Ni 0.000 0.500 0.250 (multiplicity 2)
Ru 0.000 0.500 0.750 (multiplicity 2)

Crystalline Er2TaNi4Ge3 at its relaxed geometry. Source: Alexandria, functional GGA-PBE.

Calculated values
ΔH_f (0 K)	-595	meV/atom
total magnetic moment	0.000	μB/atom

a b c (Å): 4.013 4.013 10.148
angles (deg): 90.00 90.00 90.00
Space group P-4m2 (No. 115)
Unique sites:
Er 0.000 0.500 0.235 (multiplicity 2)
Ta 0.000 0.000 0.500 (multiplicity 1)
Ni 0.000 0.000 0.000 (multiplicity 1)
Ni 0.000 0.500 0.640 (multiplicity 2)
Ni 0.500 0.500 0.000 (multiplicity 1)
Ge 0.000 0.500 0.870 (multiplicity 2)
Ge 0.500 0.500 0.500 (multiplicity 1)

Crystalline MgNi2GeP at its relaxed geometry. Source: Alexandria, functional GGA-PBE.

Calculated values
ΔH_f (0 K)	1032	meV/atom
total magnetic moment	0.000	μB/atom

a b c (Å): 4.489 4.489 4.562
angles (deg): 90.00 90.00 90.00
Space group P4/mmm (No. 123)
Unique sites:
Mg 0.000 0.000 0.000 (multiplicity 1)
Ni 0.000 0.500 0.000 (multiplicity 2)
Ge 0.500 0.500 0.500 (multiplicity 1)
P 0.000 0.000 0.500 (multiplicity 1)

Crystalline AcZn3Sb3 at its relaxed geometry. Source: Alexandria, functional GGA-PBE.

Calculated values
formation energy from raw total energies	-0.3581	eV/atom
total magnetic moment	0.000	μB/atom
excess energy over the best structure of this formula in the dataset	0.0	meV per atom

a b c (Å): 10.6703 10.6703 4.4935
angles (deg): 90.00 90.00 120.00
Space group P6_3/m (No. 176)
Unique sites:
Ac 0.3333 0.6667 0.2500 (multiplicity 2)
Zn 0.0606 0.4068 0.7500 (multiplicity 6)
Sb 0.0960 0.6881 0.7500 (multiplicity 6)

Crystalline PdRhPb2 at its relaxed geometry. Source: Alexandria, functional GGA-PBE.

Calculated values
ΔH_f (0 K)	164	meV/atom
total magnetic moment	0.000	μB/atom
excess energy over the best structure of this formula in the dataset	272.4	meV per atom

a b c (Å): 3.3038 3.3038 28.5004
angles (deg): 90.00 90.00 120.00
Space group R-3m (No. 166, hexagonal axes)
Unique sites:
Pd 0.0000 0.0000 0.0000 (multiplicity 3)
Rh 0.0000 0.0000 0.5000 (multiplicity 3)
Pb 0.0000 0.0000 0.0937 (multiplicity 6)

Crystalline Na2CdHg at its relaxed geometry. Source: Alexandria, functional GGA-PBE.

Calculated values
ΔH_f (0 K)	-159	meV/atom
total magnetic moment	0.000	μB/atom
excess energy over the best structure of this formula in the dataset	0.8	meV per atom

a b c (Å): 3.753 3.753 7.487
angles (deg): 90.00 90.00 90.00
Space group P4/mmm (No. 123)
Unique sites:
Na 0.000 0.000 0.245 (multiplicity 2)
Cd 0.500 0.500 0.500 (multiplicity 1)
Hg 0.500 0.500 0.000 (multiplicity 1)

Crystalline Sm3ErIn3Te8 at its relaxed geometry. Source: Alexandria, functional GGA-PBE.

Calculated values
formation energy from raw total energies	-1.0160	eV/atom
total magnetic moment	0.000	μB/atom

a b c (Å): 8.8684 8.8684 23.7031
angles (deg): 90.00 90.00 120.00
Space group R-3m (No. 166, hexagonal axes)
Unique sites:
Sm 0.0000 0.5000 0.0000 (multiplicity 9)
Er 0.0000 0.0000 0.0000 (multiplicity 3)
In 0.0000 0.5000 0.5000 (multiplicity 9)
Te 0.0000 0.0000 0.2560 (multiplicity 6)
Te 0.0060 0.5030 0.7423 (multiplicity 18)

Crystalline KMgMo2 at its relaxed geometry. Source: Alexandria, functional GGA-PBE.

Calculated values
ΔH_f (0 K)	971	meV/atom
total magnetic moment	0.018	μB/atom

a b c (Å): 3.204 5.750 10.642
angles (deg): 90.00 90.00 90.00
Space group Imm2 (No. 44)
Unique sites:
K 0.000 0.000 0.000 (multiplicity 2)
Mg 0.000 0.500 0.796 (multiplicity 2)
Mo 0.000 0.000 0.559 (multiplicity 2)
Mo 0.000 0.500 0.218 (multiplicity 2)

Crystalline CaIn at its relaxed geometry. Source: Alexandria, functional GGA-PBE.

Calculated values
ΔH_f (0 K)	-212	meV/atom
total magnetic moment	0.000	μB/atom

a b c (Å): 5.1819 5.1819 5.9775
angles (deg): 90.00 90.00 120.00
Space group P6_3/mmc (No. 194)
Unique sites:
Ca 0.3333 0.6667 0.2500 (multiplicity 2)
In 0.0000 0.0000 0.0000 (multiplicity 2)

Crystalline BaScCo at its relaxed geometry. Source: Alexandria, functional GGA-PBE.

Calculated values
ΔH_f (0 K)	219	meV/atom
total magnetic moment	0.153	μB/atom
excess energy over the best structure of this formula in the dataset	223.3	meV per atom

a b c (Å): 3.427 3.427 13.346
angles (deg): 90.00 90.00 90.00
Space group I4mm (No. 107)
Unique sites:
Ba 0.000 0.000 0.000 (multiplicity 2)
Sc 0.000 0.000 0.253 (multiplicity 2)
Co 0.000 0.000 0.668 (multiplicity 2)

Crystalline CeInC at its relaxed geometry. Source: Alexandria, functional GGA-PBE.

Calculated values
ΔH_f (0 K)	-2	meV/atom
total magnetic moment	0.117	μB/atom

a b c (Å): 3.449 23.247 3.014
angles (deg): 90.00 90.00 90.00
Space group Cmcm (No. 63)
Unique sites:
Ce 0.000 0.067 0.250 (multiplicity 4)
In 0.000 0.200 0.750 (multiplicity 4)
C 0.000 0.485 0.250 (multiplicity 4)

Crystalline SrReCl at its relaxed geometry. Source: Alexandria, functional GGA-PBE.

Calculated values
formation energy from raw total energies	1.0920	eV/atom
total magnetic moment	1.333	μB/atom
excess energy over the best structure of this formula in the dataset	494.6	meV per atom

a b c (Å): 7.481 7.481 7.481
angles (deg): 90.00 90.00 90.00
Space group F-43m (No. 216)
Unique sites:
Sr 0.000 0.000 0.000 (multiplicity 4)
Re 0.250 0.250 0.750 (multiplicity 4)
Cl 0.250 0.250 0.250 (multiplicity 4)

Crystalline TiNbPt3 at its relaxed geometry. Source: Alexandria, functional GGA-PBE.

Calculated values
ΔH_f (0 K)	-546	meV/atom
total magnetic moment	0.000	μB/atom
excess energy over the best structure of this formula in the dataset	0.0	meV per atom

a b c (Å): 6.928 6.864 7.063
angles (deg): 90.00 90.00 90.00
Space group Pnma (No. 62)
Unique sites:
Ti 0.177 0.250 0.084 (multiplicity 4)
Nb 0.000 0.000 0.500 (multiplicity 4)
Pt 0.139 0.552 0.851 (multiplicity 8)
Pt 0.141 0.750 0.205 (multiplicity 4)

Crystalline GaFeCo2Cl at its relaxed geometry. Source: Alexandria, functional GGA-PBE.

Calculated values
formation energy from raw total energies	0.9770	eV/atom
total magnetic moment	0.991	μB/atom

a b c (Å): 4.017 4.017 4.966
angles (deg): 90.00 90.00 90.00
Space group P4/mmm (No. 123)
Unique sites:
Ga 0.000 0.000 0.000 (multiplicity 1)
Fe 0.500 0.500 0.000 (multiplicity 1)
Co 0.000 0.500 0.500 (multiplicity 2)
Cl 0.000 0.000 0.500 (multiplicity 1)

| no. | total DFT energy (no corrections) (Ry per atom) |
| --- | --- |
| 1 | -0.329 |
| 2 | -0.299 |
| 3 | -0.287 |
| 4 | -0.304 |
| 5 | -0.325 |
| 6 | -0.729 |
| 7 | -0.412 |
| 8 | -0.470 |
| 9 | -0.265 |
| 10 | -0.239 |
| 11 | -0.355 |
| 12 | -0.083 |
| 13 | -0.330 |
| 14 | -0.376 |
| 15 | -0.190 |
| 16 | -0.360 |
| 17 | -0.439 |
| 18 | -0.311 |
| 19 | -0.571 |
| 20 | -0.333 |